# 1
Entry from Alexandria via LeMat-Bulk: KCaAg10 after structural relaxation (PBE).

Cell lengths 4.6752, 5.6680, 9.9740 Å; angles 90.00, 90.00, 90.00 degrees
With the nearest neighbours (Å) after each atom.
Fractional coordinates of all 12 atoms:
K (0.0000, 0.0000, 0.0000)  10 Ag 3.33-3.67
Ca (0.0000, 0.5000, 0.5000)  6 Ag 3.24-3.25
Ag (0.0000, 0.0000, 0.3397)  6 Ag 2.83-2.87
Ag (0.0000, 0.5000, 0.8246)  6 Ag 2.84-2.92
Ag (0.0000, 0.5000, 0.1754)  6 Ag 2.84-2.92
Ag (0.0000, 0.0000, 0.6603)  6 Ag 2.83-2.87
Ag (0.5000, 0.0000, 0.5000)  8 Ag 2.82-2.83
Ag (0.5000, 0.5000, 0.0000)  8 Ag 2.91-2.92
Ag (0.5000, 0.2538, 0.2564)  8 Ag 2.79-2.91
Ag (0.5000, 0.7462, 0.7436)  8 Ag 2.79-2.91
Ag (0.5000, 0.7462, 0.2564)  8 Ag 2.79-2.91
Ag (0.5000, 0.2538, 0.7436)  8 Ag 2.79-2.91

**Fermi-level density of states**: 4.47 states/eV/f.u.
**Size of the total moment**: 0.000 μB per atom
**Electronic total energy**: -2.71 eV per atom
**ΔH_f (0 K)**: -73 meV per atom


# 2
Entry from Alexandria via LeMat-Bulk: KLiCaAg2 after structural relaxation (PBE).

Cell lengths 5.6344, 6.5731, 5.6344 Å; angles 90.00, 90.00, 90.00 degrees
With the nearest neighbours (Å) after each atom.
Fractional coordinates of all 5 atoms:
Ca (0.0000, 0.0000, 0.0000)  4 Ag 2.82
K (0.0000, 0.5000, 0.0000)  2 Ca 3.29
Ag (0.0000, 0.0000, 0.5000)  2 Ca 2.82
Ag (0.5000, 0.0000, 0.0000)  2 Ca 2.82
Li (0.5000, 0.5000, 0.5000)  4 K 3.98, 8 Ag 4.33

**Fermi-level density of states**: 2.70 states/eV/f.u.
**Size of the total moment**: 0.000 μB per atom
**Electronic total energy**: -1.58 eV per atom
**ΔH_f (0 K)**: 559 meV per atom


Question: What is the formula in the first record?
Answer: KCaAg10


Question: size of the total moment of number 2 (KLiCaAg2)?
Answer: 0.000 μB per atom


Copy entry 1 word for word.
Entry from Alexandria via LeMat-Bulk: KCaAg10 after structural relaxation (PBE).

Cell lengths 4.6752, 5.6680, 9.9740 Å; angles 90.00, 90.00, 90.00 degrees
With the nearest neighbours (Å) after each atom.
Fractional coordinates of all 12 atoms:
K (0.0000, 0.0000, 0.0000)  10 Ag 3.33-3.67
Ca (0.0000, 0.5000, 0.5000)  6 Ag 3.24-3.25
Ag (0.0000, 0.0000, 0.3397)  6 Ag 2.83-2.87
Ag (0.0000, 0.5000, 0.8246)  6 Ag 2.84-2.92
Ag (0.0000, 0.5000, 0.1754)  6 Ag 2.84-2.92
Ag (0.0000, 0.0000, 0.6603)  6 Ag 2.83-2.87
Ag (0.5000, 0.0000, 0.5000)  8 Ag 2.82-2.83
Ag (0.5000, 0.5000, 0.0000)  8 Ag 2.91-2.92
Ag (0.5000, 0.2538, 0.2564)  8 Ag 2.79-2.91
Ag (0.5000, 0.7462, 0.7436)  8 Ag 2.79-2.91
Ag (0.5000, 0.7462, 0.2564)  8 Ag 2.79-2.91
Ag (0.5000, 0.2538, 0.7436)  8 Ag 2.79-2.91

**Fermi-level density of states**: 4.47 states/eV/f.u.
**Size of the total moment**: 0.000 μB per atom
**Electronic total energy**: -2.71 eV per atom
**ΔH_f (0 K)**: -73 meV per atom